Crystalline La2Pm12Dy5 at its relaxed geometry, computed with PBE-GGA.

```
La2Pm12Dy5
1.0
-3.851 -9.056 -2.250
9.197 1.117 2.411
-1.851 -1.123 7.691
La Pm Dy
2 12 5
direct
0.787 0.000 0.000
0.213 0.000 0.000
0.836 0.672 0.124
0.038 0.614 0.793
0.575 0.614 0.793
0.168 0.788 0.390
0.621 0.788 0.390
0.449 0.898 0.711
0.551 0.102 0.289
0.832 0.212 0.610
0.379 0.212 0.610
0.962 0.386 0.207
0.425 0.386 0.207
0.164 0.328 0.876
0.248 0.496 0.509
0.353 0.707 0.082
0.000 0.000 0.500
0.647 0.293 0.918
0.752 0.504 0.491
```

Calculated total energy: -4.608 eV/atom
ΔH_f (0 K): 0.12 eV/atom
Energy above the lowest structure with this stoichiometry: 0.00 kJ/mol of atoms
Density of states at the Fermi level: 1.36 states/eV per atom
Spin magnetization: 0.00 μB per atom
Theoretical density: 7164 kg/m3

***

Crystalline Tl2SiBiS4 at its relaxed geometry, computed with PBE-GGA.

```
Tl2SiBiS4
1.0
-6.354 2.249 1.708
-5.377 -1.209 -4.257
-5.433 -9.763 6.796
Tl Si Bi S
4 2 2 8
direct
0.200 0.000 0.600
0.800 0.000 0.400
0.550 0.500 0.900
0.950 0.500 0.100
0.250 0.500 0.500
0.500 0.000 0.000
0.750 0.500 0.500
0.000 0.000 0.000
0.374 0.797 0.097
0.268 0.203 0.903
0.829 0.797 0.903
0.529 0.203 0.097
0.376 0.703 0.403
0.482 0.297 0.597
0.921 0.703 0.597
0.221 0.297 0.403
```

Calculated total energy: -4.168 eV/atom
Uncorrected formation energy: -0.350 eV/atom
Density of states at the Fermi level: 0.26 states/eV per atom
Spin magnetization: 0.00 μB per atom
Theoretical density: 4860 kg/m3